No. 1
DFT (GGA-PBE) results for a relaxed structure of BiAsN2.

Geometry as POSCAR:
```
BiAsN2
1.0
0.0000 3.0270 3.0270
3.0270 0.0000 3.0270
3.0270 3.0270 0.0000
Bi As N
1 1 2
direct
0.0000 0.0000 0.0000
0.5000 0.5000 0.5000
0.2500 0.2500 0.2500
0.7500 0.7500 0.7500
```

Summary:
uncorrected formation energy	1.504	eV/atom
magnetic moment	0.0000	μB per atom
ΔE to the lowest computed polymorph	0.799	eV per atom

No. 2
DFT (GGA-PBE) results for a relaxed structure of IrW.

Geometry as POSCAR:
```
IrW
1.0
4.3947 0.0000 0.0000
-2.1974 3.8059 0.0000
0.0000 0.0000 5.0610
Ir W
2 2
direct
0.3333 0.6667 0.0000
0.6667 0.3333 0.5000
0.3333 0.6667 0.5200
0.6667 0.3333 0.0200
```

Summary:
magnetic moment	0.0000	μB per atom
ΔE_f	91.3	kJ per mole of atoms
ΔE to the lowest computed polymorph	1.247	eV per atom

No. 3
DFT (GGA-PBE) results for a relaxed structure of Li6Bi2Au.

Geometry as POSCAR:
```
Li6Bi2Au
1.0
7.8443 0.0000 0.0000
-3.9222 6.7934 0.0000
0.0000 0.0000 3.2311
Li Bi Au
6 2 1
direct
0.0000 0.3229 0.0000
0.0000 0.6771 0.0000
0.3229 0.0000 0.0000
0.3229 0.3229 0.0000
0.6771 0.0000 0.0000
0.6771 0.6771 0.0000
0.3333 0.6667 0.5000
0.6667 0.3333 0.5000
0.0000 0.0000 0.5000
```

Summary:
magnetic moment	0.0000	μB per atom
ΔE_f	-36.4	kJ per mole of atoms
ΔE to the lowest computed polymorph	0.025	eV per atom

No. 4
DFT (GGA-PBE) results for a relaxed structure of AcPr2DyEr.

Geometry as POSCAR:
```
AcPr2DyEr
1.0
6.4690 0.0000 0.0000
0.0000 5.9381 0.0000
-3.2162 0.0000 9.3547
Ac Pr Dy Er
2 4 2 2
direct
0.1377 0.2500 0.1047
0.8623 0.7500 0.8953
0.2678 0.7500 0.7011
0.3393 0.2500 0.5039
0.6607 0.7500 0.4961
0.7322 0.2500 0.2989
0.0632 0.7500 0.3061
0.9368 0.2500 0.6939
0.4746 0.7500 0.1022
0.5254 0.2500 0.8978
```

Summary:
magnetic moment	0.0000	μB per atom
ΔE_f	4.4	kJ per mole of atoms

No. 5
DFT (GGA-PBE) results for a relaxed structure of GaSbW.

Geometry as POSCAR:
```
GaSbW
1.0
0.0000 4.7188 9.1752
2.7115 0.0000 9.1752
2.7115 4.7188 0.0000
Ga Sb W
4 4 4
direct
0.0466 0.0466 0.2034
0.2034 0.2034 0.0466
0.7966 0.7966 0.9534
0.9534 0.9534 0.7966
0.2066 0.5434 0.2066
0.4566 0.7934 0.4566
0.5434 0.2066 0.5434
0.7934 0.4566 0.7934
0.2500 0.2500 0.5000
0.5000 0.5000 0.2500
0.5000 0.5000 0.7500
0.7500 0.7500 0.5000
```

Summary:
uncorrected formation energy	0.274	eV/atom
magnetic moment	0.0000	μB per atom

No. 6
DFT (GGA-PBE) results for a relaxed structure of RbMnAu2.

Geometry as POSCAR:
```
RbMnAu2
1.0
0.0000 3.6729 3.6729
3.6729 0.0000 3.6729
3.6729 3.6729 0.0000
Rb Mn Au
1 1 2
direct
0.0000 0.0000 0.0000
0.5000 0.5000 0.5000
0.2500 0.2500 0.2500
0.7500 0.7500 0.7500
```

Summary:
magnetic moment	1.2545	μB per atom
ΔE_f	39.6	kJ per mole of atoms
ΔE to the lowest computed polymorph	0.268	eV per atom

No. 7
DFT (GGA-PBE) results for a relaxed structure of SmHgF6.

Geometry as POSCAR:
```
SmHgF6
1.0
3.9780 0.0000 0.0000
-1.3229 5.5211 0.0000
-1.8875 -1.0112 5.8206
Sm Hg F
1 1 6
direct
0.0000 0.0000 0.0000
0.0000 0.5000 0.5000
0.0658 0.7475 0.2703
0.2751 0.2708 0.3756
0.3834 0.7774 0.9064
0.6166 0.2226 0.0936
0.7249 0.7292 0.6244
0.9342 0.2525 0.7297
```

Summary:
uncorrected formation energy	-2.550	eV/atom
magnetic moment	0.1221	μB per atom

No. 8
DFT (GGA-PBE) results for a relaxed structure of CdSb2Ir.

Geometry as POSCAR:
```
CdSb2Ir
1.0
3.1717 0.0000 0.0000
0.0000 3.1717 0.0000
0.0000 0.0000 8.9544
Cd Sb Ir
1 2 1
direct
0.0000 0.0000 0.0000
0.0000 0.0000 0.3899
0.5000 0.5000 0.7209
0.5000 0.5000 0.2133
```

Summary:
uncorrected formation energy	0.066	eV/atom
magnetic moment	0.0000	μB per atom
ΔE to the lowest computed polymorph	0.128	eV per atom

No. 9
DFT (GGA-PBE) results for a relaxed structure of PmPr3Pu2Te6.

Geometry as POSCAR:
```
PmPr3Pu2Te6
1.0
9.7967 -2.2347 0.0000
9.7967 2.2347 0.0000
-2.1227 0.0000 8.7573
Pm Pr Pu Te
1 3 2 6
direct
0.0000 0.0000 0.0000
0.0000 0.0000 0.5000
0.3345 0.3345 0.1663
0.6655 0.6655 0.8337
0.3336 0.3336 0.6667
0.6664 0.6664 0.3333
0.1661 0.1661 0.0892
0.1687 0.1687 0.5789
0.4977 0.4977 0.7518
0.5023 0.5023 0.2482
0.8313 0.8313 0.4211
0.8339 0.8339 0.9108
```

Summary:
uncorrected formation energy	-1.335	eV/atom
magnetic moment	0.9883	μB per atom

No. 10
DFT (GGA-PBE) results for a relaxed structure of La2PrEr3Te6.

Geometry as POSCAR:
```
La2PrEr3Te6
1.0
9.7736 -2.1888 0.0000
9.7736 2.1888 0.0000
-2.4328 0.0000 8.6908
La Pr Er Te
2 1 3 6
direct
0.1651 0.1651 0.3292
0.8349 0.8349 0.6708
0.5000 0.5000 0.0000
0.1667 0.1667 0.8317
0.5000 0.5000 0.5000
0.8333 0.8333 0.1683
0.0051 0.0051 0.7402
0.3295 0.3295 0.9305
0.3373 0.3373 0.4074
0.6627 0.6627 0.5926
0.6705 0.6705 0.0695
0.9949 0.9949 0.2598
```

Summary:
uncorrected formation energy	-1.388	eV/atom
magnetic moment	0.0001	μB per atom

No. 11
DFT (GGA-PBE) results for a relaxed structure of Rb2ScTe2.

Geometry as POSCAR:
```
Rb2ScTe2
1.0
8.1911 0.0000 0.0000
0.0000 8.1911 0.0000
0.0000 0.0000 5.6881
Rb Sc Te
4 2 4
direct
0.1445 0.3555 0.0000
0.3555 0.8555 0.0000
0.6445 0.1445 0.0000
0.8555 0.6445 0.0000
0.0000 0.0000 0.5000
0.5000 0.5000 0.5000
0.1780 0.6780 0.5000
0.3220 0.1780 0.5000
0.6780 0.8220 0.5000
0.8220 0.3220 0.5000
```

Summary:
uncorrected formation energy	-0.783	eV/atom
magnetic moment	0.1906	μB per atom
ΔE to the lowest computed polymorph	0.248	eV per atom

No. 12
DFT (GGA-PBE) results for a relaxed structure of TaCu2W.

Geometry as POSCAR:
```
TaCu2W
1.0
1.3902 0.8027 9.0313
-1.3902 0.8027 9.0313
0.0000 -1.6053 9.0313
Ta Cu W
1 2 1
direct
0.0000 0.0000 0.0000
0.2489 0.2489 0.2489
0.5082 0.5082 0.5082
0.7604 0.7604 0.7604
```

Summary:
magnetic moment	0.0000	μB per atom
ΔE_f	29.7	kJ per mole of atoms
ΔE to the lowest computed polymorph	0.168	eV per atom